(1)
# Ac3PrIn4 PBE optimized geometry
data_Ac3PrIn4
_chemical_formula_sum 'Ac3 Pr1 In4'
_cell_length_a 10.7445
_cell_length_b 10.7445
_cell_length_c 10.7445
_cell_angle_alpha 158.76
_cell_angle_beta 139.33
_cell_angle_gamma 46.32
_space_group_name_H-M_alt 'P 1'
_space_group_IT_number 1
loop_
_space_group_symop_operation_xyz
'x,y,z'
loop_
_atom_site_label
_atom_site_type_symbol
_atom_site_fract_x
_atom_site_fract_y
_atom_site_fract_z
_atom_site_occupancy
Ac1 Ac 0.0000 0.0000 0.0000 1
Ac2 Ac 0.2858 0.7858 0.5000 1
Ac3 Ac 0.7142 0.2142 0.5000 1
Pr1 Pr 0.5000 0.5000 0.0000 1
In1 In 0.0801 0.3750 0.7051 1
In2 In 0.3301 0.6250 0.7051 1
In3 In 0.6699 0.3750 0.2949 1
In4 In 0.9199 0.6250 0.2949 1
# ΔE to the lowest computed polymorph = 154 meV/atom
# DFT formation energy = -0.285 eV/atom
# Space group = Immm, No. 71
# Final energy = -30.3 eV per cell

---

(2)
# LiTe2Cl PBE optimized geometry
data_LiTe2Cl
_chemical_formula_sum 'Li1 Te2 Cl1'
_cell_length_a 7.2785
_cell_length_b 7.2785
_cell_length_c 3.3344
_cell_angle_alpha 92.14
_cell_angle_beta 92.14
_cell_angle_gamma 135.11
_space_group_name_H-M_alt 'P 1'
_space_group_IT_number 1
loop_
_space_group_symop_operation_xyz
'x,y,z'
loop_
_atom_site_label
_atom_site_type_symbol
_atom_site_fract_x
_atom_site_fract_y
_atom_site_fract_z
_atom_site_occupancy
Li1 Li 0.0000 0.0000 0.0000 1
Te1 Te 0.0000 0.5000 0.5000 1
Te2 Te 0.5000 0.0000 0.5000 1
Cl1 Cl 0.5000 0.5000 0.0000 1
# ΔE to the lowest computed polymorph = 432 meV/atom
# Formation energy from raw total energies = -0.286 eV per atom
# Space group = C2/m, No. 12
# Final energy = -11.2 eV per cell

---

Q: Among the records above, which one has the highest ΔE to the lowest computed polymorph?
A: LiTe2Cl